(1)
# TiIrF | Alexandria via LeMat-Bulk | PBE | relaxed
data_TiIrF
_cell_length_a 2.810
_cell_length_b 3.796
_cell_length_c 8.970
_cell_angle_alpha 90.00
_cell_angle_beta 90.00
_cell_angle_gamma 90.00
_symmetry_space_group_name_H-M 'P m m n'
_symmetry_Int_Tables_number 59
loop_
_symmetry_equiv_pos_as_xyz
'x,y,z'
'-x,-y,-z'
'-x+1/2,-y+1/2,z'
'x+1/2,y+1/2,-z'
'x+1/2,-y,-z'
'-x+1/2,y,z'
'-x,y+1/2,-z'
'x,-y+1/2,z'
loop_
_atom_site_label
_atom_site_type_symbol
_atom_site_fract_x
_atom_site_fract_y
_atom_site_fract_z
Ti1 Ti 0.250 0.250 0.222
Ir1 Ir 0.250 0.250 0.917
F1 F 0.250 0.750 0.621
# - V (Å³ per cell) = 95.67
# - energy above the lowest structure with this stoichiometry (meV/atom) = 0

=====

(2)
# TiIrF3 | Alexandria via LeMat-Bulk | PBE | relaxed
data_TiIrF3
_cell_length_a 4.267
_cell_length_b 4.267
_cell_length_c 4.267
_cell_angle_alpha 90.00
_cell_angle_beta 90.00
_cell_angle_gamma 90.00
_symmetry_space_group_name_H-M 'P m -3 m'
_symmetry_Int_Tables_number 221
_symmetry_space_group_name_Hall '-P 4 2 3'
loop_
_atom_site_label
_atom_site_type_symbol
_atom_site_fract_x
_atom_site_fract_y
_atom_site_fract_z
Ti1 Ti 0.000 0.000 0.000
Ir1 Ir 0.500 0.500 0.500
F1 F 0.000 0.500 0.500
# - V (Å³ per cell) = 77.67
# - energy above the lowest structure with this stoichiometry (meV/atom) = 880

=====

(3)
# Ti2IrF | Alexandria via LeMat-Bulk | PBE | relaxed
data_Ti2IrF
_cell_length_a 6.149
_cell_length_b 6.149
_cell_length_c 6.149
_cell_angle_alpha 90.00
_cell_angle_beta 90.00
_cell_angle_gamma 90.00
_symmetry_space_group_name_H-M 'F m -3 m'
_symmetry_Int_Tables_number 225
_symmetry_space_group_name_Hall '-F 4 2 3'
loop_
_atom_site_label
_atom_site_type_symbol
_atom_site_fract_x
_atom_site_fract_y
_atom_site_fract_z
Ti1 Ti 0.250 0.250 0.250
Ir1 Ir 0.000 0.000 0.000
F1 F 0.000 0.000 0.500
# - V (Å³ per cell) = 232.48
# - energy above the lowest structure with this stoichiometry (meV/atom) = 44

=====

(4)
# Ti3IrF | Alexandria via LeMat-Bulk | PBE | relaxed
data_Ti3IrF
_cell_length_a 4.820
_cell_length_b 4.820
_cell_length_c 4.820
_cell_angle_alpha 90.00
_cell_angle_beta 90.00
_cell_angle_gamma 90.00
_symmetry_space_group_name_H-M 'P m -3 m'
_symmetry_Int_Tables_number 221
_symmetry_space_group_name_Hall '-P 4 2 3'
loop_
_atom_site_label
_atom_site_type_symbol
_atom_site_fract_x
_atom_site_fract_y
_atom_site_fract_z
Ti1 Ti 0.000 0.000 0.500
Ir1 Ir 0.000 0.000 0.000
F1 F 0.500 0.500 0.500
# - V (Å³ per cell) = 111.99
# - energy above the lowest structure with this stoichiometry (meV/atom) = 904

=====

(5)
# Ti2IrF | Alexandria via LeMat-Bulk | PBE | relaxed
data_Ti2IrF
_cell_length_a 5.073
_cell_length_b 5.073
_cell_length_c 10.724
_cell_angle_alpha 90.00
_cell_angle_beta 90.00
_cell_angle_gamma 90.00
_symmetry_space_group_name_H-M 'I -4 2 d'
_symmetry_Int_Tables_number 122
_symmetry_space_group_name_Hall 'I -4 2bw'
loop_
_atom_site_label
_atom_site_type_symbol
_atom_site_fract_x
_atom_site_fract_y
_atom_site_fract_z
Ti1 Ti 0.190 0.250 0.125
Ir1 Ir 0.000 0.000 0.500
F1 F 0.000 0.000 0.000
# - V (Å³ per cell) = 275.97
# - energy above the lowest structure with this stoichiometry (meV/atom) = 0

=====

(6)
# TiIrF | Alexandria via LeMat-Bulk | PBE | relaxed
data_TiIrF
_cell_length_a 2.816
_cell_length_b 14.200
_cell_length_c 3.940
_cell_angle_alpha 90.00
_cell_angle_beta 90.00
_cell_angle_gamma 90.00
_symmetry_space_group_name_H-M 'I m m 2'
_symmetry_Int_Tables_number 44
loop_
_symmetry_equiv_pos_as_xyz
'x,y,z'
'-x,-y,z'
'-x,y,z'
'x,-y,z'
'x+1/2,y+1/2,z+1/2'
'-x+1/2,-y+1/2,z+1/2'
'-x+1/2,y+1/2,z+1/2'
'x+1/2,-y+1/2,z+1/2'
loop_
_atom_site_label
_atom_site_type_symbol
_atom_site_fract_x
_atom_site_fract_y
_atom_site_fract_z
Ti1 Ti 0.000 0.112 0.000
Ir1 Ir 0.000 0.298 0.002
F1 F 0.000 0.000 0.320
F2 F 0.000 0.500 0.342
# - V (Å³ per cell) = 157.59
# - energy above the lowest structure with this stoichiometry (meV/atom) = 167

=====

(7)
# TiIrF | Alexandria via LeMat-Bulk | PBE | relaxed
data_TiIrF
_cell_length_a 2.8245
_cell_length_b 2.8245
_cell_length_c 6.5594
_cell_angle_alpha 90.00
_cell_angle_beta 90.00
_cell_angle_gamma 120.00
_symmetry_space_group_name_H-M 'P 3 m 1'
_symmetry_Int_Tables_number 156
loop_
_symmetry_equiv_pos_as_xyz
'x,y,z'
'-y,x-y,z'
'-x+y,-x,z'
'-y,-x,z'
'-x+y,y,z'
'x,x-y,z'
loop_
_atom_site_label
_atom_site_type_symbol
_atom_site_fract_x
_atom_site_fract_y
_atom_site_fract_z
Ti1 Ti 0.0000 0.0000 0.0000
Ir1 Ir 0.3333 0.6667 0.6960
F1 F 0.3333 0.6667 0.2035
# - V (Å³ per cell) = 45.32
# - energy above the lowest structure with this stoichiometry (meV/atom) = 266

=====

(8)
# TiIrF3 | Alexandria via LeMat-Bulk | PBE | relaxed
data_TiIrF3
_cell_length_a 4.057
_cell_length_b 4.057
_cell_length_c 4.057
_cell_angle_alpha 90.00
_cell_angle_beta 90.00
_cell_angle_gamma 90.00
_symmetry_space_group_name_H-M 'P m -3 m'
_symmetry_Int_Tables_number 221
_symmetry_space_group_name_Hall '-P 4 2 3'
loop_
_atom_site_label
_atom_site_type_symbol
_atom_site_fract_x
_atom_site_fract_y
_atom_site_fract_z
Ti1 Ti 0.000 0.000 0.000
Ir1 Ir 0.500 0.500 0.500
F1 F 0.000 0.000 0.500
# - V (Å³ per cell) = 66.76
# - energy above the lowest structure with this stoichiometry (meV/atom) = 0

=====

(9)
# TiIrF | Alexandria via LeMat-Bulk | PBE | relaxed
data_TiIrF
_cell_length_a 2.728
_cell_length_b 2.728
_cell_length_c 10.906
_cell_angle_alpha 90.00
_cell_angle_beta 90.00
_cell_angle_gamma 90.00
_symmetry_space_group_name_H-M 'P 4/n m m'
_symmetry_Int_Tables_number 129
loop_
_symmetry_equiv_pos_as_xyz
'x,y,z'
'-x,-y,-z'
'-y+1/2,x,z'
'y+1/2,-x,-z'
'-x+1/2,-y+1/2,z'
'x+1/2,y+1/2,-z'
'y,-x+1/2,z'
'-y,x+1/2,-z'
'x+1/2,-y,-z'
'-x+1/2,y,z'
'-y,-x,-z'
'y,x,z'
'-x,y+1/2,-z'
'x,-y+1/2,z'
'y+1/2,x+1/2,-z'
'-y+1/2,-x+1/2,z'
loop_
_atom_site_label
_atom_site_type_symbol
_atom_site_fract_x
_atom_site_fract_y
_atom_site_fract_z
Ti1 Ti 0.250 0.250 0.231
Ir1 Ir 0.250 0.250 0.594
F1 F 0.250 0.250 0.878
# - V (Å³ per cell) = 81.14
# - energy above the lowest structure with this stoichiometry (meV/atom) = 135

=====

(10)
# TiIr2F | Alexandria via LeMat-Bulk | PBE | relaxed
data_TiIr2F
_cell_length_a 8.195
_cell_length_b 8.195
_cell_length_c 4.123
_cell_angle_alpha 90.00
_cell_angle_beta 90.00
_cell_angle_gamma 90.00
_symmetry_space_group_name_H-M 'I -4 2 d'
_symmetry_Int_Tables_number 122
_symmetry_space_group_name_Hall 'I -4 2bw'
loop_
_atom_site_label
_atom_site_type_symbol
_atom_site_fract_x
_atom_site_fract_y
_atom_site_fract_z
Ti1 Ti 0.000 0.000 0.000
Ir1 Ir 0.177 0.250 0.125
F1 F 0.000 0.000 0.500
# - V (Å³ per cell) = 276.89
# - energy above the lowest structure with this stoichiometry (meV/atom) = 0

=====

(11)
# TiIrF | Alexandria via LeMat-Bulk | PBE | relaxed
data_TiIrF
_cell_length_a 2.839
_cell_length_b 14.353
_cell_length_c 4.566
_cell_angle_alpha 90.00
_cell_angle_beta 90.00
_cell_angle_gamma 90.00
_symmetry_space_group_name_H-M 'C m c 21'
_symmetry_Int_Tables_number 36
loop_
_symmetry_equiv_pos_as_xyz
'x,y,z'
'-x,-y,z+1/2'
'-x,y,z'
'x,-y,z+1/2'
'x+1/2,y+1/2,z'
'-x+1/2,-y+1/2,z+1/2'
'-x+1/2,y+1/2,z'
'x+1/2,-y+1/2,z+1/2'
loop_
_atom_site_label
_atom_site_type_symbol
_atom_site_fract_x
_atom_site_fract_y
_atom_site_fract_z
Ti1 Ti 0.000 0.103 0.000
Ir1 Ir 0.000 0.448 0.050
F1 F 0.000 0.302 0.592
# - V (Å³ per cell) = 186.04
# - energy above the lowest structure with this stoichiometry (meV/atom) = 175

=====

> Which value of V does entry 6 give?

157.59 Å³ per cell